No. 1
DFT (PBE) results for an optimized crystal structure of Na3TmPb12.

The structure in CIF format:
```
data_Na3TmPb12
_symmetry_space_group_name_H-M 'P 4/m m m'
_symmetry_Int_Tables_number 123
_symmetry_space_group_name_Hall '-P 4 2'
_cell_length_a 4.851
_cell_length_b 4.851
_cell_length_c 20.078
_cell_angle_alpha 90.00
_cell_angle_beta 90.00
_cell_angle_gamma 90.00
loop_
_atom_site_label
_atom_site_type_symbol
_atom_site_fract_x
_atom_site_fract_y
_atom_site_fract_z
Na1 Na 0.000 0.000 0.000
Na2 Na 0.000 0.000 0.252
Tm1 Tm 0.000 0.000 0.500
Pb1 Pb 0.000 0.500 0.126
Pb2 Pb 0.000 0.500 0.377
Pb3 Pb 0.500 0.500 0.000
Pb4 Pb 0.500 0.500 0.249
Pb5 Pb 0.500 0.500 0.500
```

Calculated values
ΔE_f   -2.320 eV/f.u.
Final energy   -3.45 eV/atom

=====

No. 2
DFT (PBE) results for an optimized crystal structure of LiCaPrEu.

The structure in CIF format:
```
data_LiCaPrEu
_symmetry_space_group_name_H-M 'F -4 3 m'
_symmetry_Int_Tables_number 216
_symmetry_space_group_name_Hall 'F -4 2 3'
_cell_length_a 8.239
_cell_length_b 8.239
_cell_length_c 8.239
_cell_angle_alpha 90.00
_cell_angle_beta 90.00
_cell_angle_gamma 90.00
loop_
_atom_site_label
_atom_site_type_symbol
_atom_site_fract_x
_atom_site_fract_y
_atom_site_fract_z
Li1 Li 0.000 0.000 0.000
Ca1 Ca 0.250 0.250 0.250
Pr1 Pr 0.250 0.250 0.750
Eu1 Eu 0.000 0.000 0.500
```

Calculated values
ΔE_f   0.709 eV/f.u.
Final energy   -4.57 eV/atom

=====

No. 3
DFT (PBE) results for an optimized crystal structure of CoPtSe2N.

The structure in CIF format:
```
data_CoPtSe2N
_symmetry_space_group_name_H-M 'P 4/m m m'
_symmetry_Int_Tables_number 123
_symmetry_space_group_name_Hall '-P 4 2'
_cell_length_a 5.211
_cell_length_b 5.211
_cell_length_c 3.639
_cell_angle_alpha 90.00
_cell_angle_beta 90.00
_cell_angle_gamma 90.00
loop_
_atom_site_label
_atom_site_type_symbol
_atom_site_fract_x
_atom_site_fract_y
_atom_site_fract_z
Co1 Co 0.000 0.000 0.000
Pt1 Pt 0.500 0.500 0.500
Se1 Se 0.000 0.500 0.500
N1 N 0.500 0.500 0.000
```

Calculated values
Energy above the most stable polymorph in this dataset   10.233 kcal/mol of atoms
Final energy   -4.76 eV/atom
Formation energy without anion corrections   0.9257 eV per atom